# 1
Entry from the Alexandria database: a relaxed structure of CoPPb2 (PBE-GGA).

abc: 4.0419 4.8841 4.8888
angles: 66.81 90.00 90.00
Closest atoms and distances in Å follow each position.
Fractional positions:
Co: 0.0000 0.5702 0.5701  2 P 2.17
P: 0.5000 0.6656 0.6661  2 Co 2.17
Pb: 0.0000 0.9458 0.9454  3 Co 2.87-3.06, 2 P 3.05
Pb: 0.5000 0.3184 0.3183  3 P 2.84-2.96, 2 Co 2.88

***

# 2
Entry from the Alexandria database: a relaxed structure of CoP2Pb (PBE-GGA).

abc: 5.6046 5.6046 5.6046
angles: 149.94 120.13 68.44
Closest atoms and distances in Å follow each position.
Fractional positions:
Co: 0.2500 0.7500 0.5000  4 P 2.23
P: 0.0673 0.0673 0.0000  2 Co 2.23
P: 0.4327 0.4327 0.0000  2 Co 2.23
Pb: 0.7500 0.2500 0.5000  2 Pb 2.91, 4 Co 3.15

***

# 3
Entry from the Alexandria database: a relaxed structure of Co2PPb (PBE-GGA).

abc: 3.5430 3.5430 6.2334
angles: 73.43 73.43 59.94
Closest atoms and distances in Å follow each position.
Fractional positions:
Co: 0.0388 0.0388 0.8828  3 P 2.19
Co: 0.4612 0.4612 0.6172  3 P 2.19
P: 0.7500 0.7500 0.7500  6 Co 2.19
Pb: 0.2500 0.2500 0.2500  6 Co 2.97-2.98

Summary:
- Energy above the lowest structure with this stoichiometry: 0.000 eV per atom

***

Number 1: N(E_F) 0.782 states/eV/atom, formation energy 0.09 eV per atom. Number 2: N(E_F) 0.659 states/eV/atom, formation energy 0.27 eV per atom. Number 3: N(E_F) 1.022 states/eV/atom, formation energy -0.13 eV per atom.